P:
## In2ReNi (PBE-GGA)

Data for a relaxed structure of In2ReNi.

a = 9.2108 Å, b = 9.2108 Å, c = 9.2108 Å
α = 18.79°, β = 18.79°, γ = 18.79°
Atoms (fractional coordinates):
In 0.0000 0.0000 0.0000
In 0.2334 0.2334 0.2334
Re 0.4796 0.4796 0.4796
Ni 0.7452 0.7452 0.7452

---

Q:
## In2ReNi (PBE-GGA)

Data for a relaxed structure of In2ReNi.

a = 4.5959 Å, b = 4.5959 Å, c = 4.5959 Å
α = 60.00°, β = 60.00°, γ = 60.00°
Atoms (fractional coordinates):
In 0.0000 0.0000 0.0000
In 0.2500 0.2500 0.2500
Re 0.7500 0.7500 0.7500
Ni 0.5000 0.5000 0.5000

---

R:
## In2ReNi (PBE-GGA)

Data for a relaxed structure of In2ReNi.

a = 4.4612 Å, b = 4.4612 Å, c = 3.3766 Å
α = 90.00°, β = 90.00°, γ = 90.00°
Atoms (fractional coordinates):
In 0.0000 0.5000 0.0000
In 0.5000 0.0000 0.0000
Re 0.0000 0.0000 0.5000
Ni 0.5000 0.5000 0.5000

---

Tell me which of them is the most stable. Sure, it is R.

---

P:
## In2ReNi (PBE-GGA)

Data for a relaxed structure of In2ReNi.

a = 2.8964 Å, b = 2.8964 Å, c = 8.5783 Å
α = 90.00°, β = 90.00°, γ = 108.69°
Atoms (fractional coordinates):
In 0.0000 0.0000 0.2320
In 0.0000 0.0000 0.7680
Re 0.5000 0.5000 0.5000
Ni 0.5000 0.5000 0.0000

---

Q:
## In2ReNi (PBE-GGA)

Data for a relaxed structure of In2ReNi.

a = 3.0431 Å, b = 3.4609 Å, c = 6.3458 Å
α = 90.00°, β = 90.00°, γ = 90.00°
Atoms (fractional coordinates):
In 0.0000 0.0000 0.2379
In 0.0000 0.0000 0.7621
Re 0.5000 0.5000 0.5000
Ni 0.5000 0.5000 0.0000

---

R:
## In2ReNi (PBE-GGA)

Data for a relaxed structure of In2ReNi.

a = 5.2609 Å, b = 5.2609 Å, c = 5.2609 Å
α = 136.38°, β = 136.38°, γ = 63.40°
Atoms (fractional coordinates):
In 0.0000 0.0000 0.0000
In 0.7500 0.2500 0.5000
Re 0.5000 0.5000 0.0000
Ni 0.2500 0.7500 0.5000

---

Tell me which of them is the most stable. Sure, it is Q.